No. 1
A geometry-optimized P2RhW structure. Source: the Alexandria database, functional PBE-GGA.

Lattice parameters (Å, degrees): 3.2546 3.2546 5.2791 90.00 90.00 90.00
Closest atoms and distances in Å follow each position.
Fractional coordinates of all 4 atoms:
P  0.0000  0.0000  0.0000  1 Rh 2.40, 4 W 2.48
P  0.5000  0.5000  0.3098  4 Rh 2.42, 1 W 2.55
Rh  0.0000  0.0000  0.4542  5 P 2.40-2.42
W  0.5000  0.5000  0.8274  6 P 2.48-2.73

Computed properties:
mass density	10.35	g cm⁻³
energy relative to the elements	-0.27	eV per atom
DOS(E_F)	3.5	states/eV/f.u.

***

No. 2
A geometry-optimized P2RhW structure. Source: the Alexandria database, functional PBE-GGA.

Lattice parameters (Å, degrees): 3.0298 3.0204 5.9545 90.00 91.20 90.00
Closest atoms and distances in Å follow each position.
Fractional coordinates of all 4 atoms:
P  0.0103  0.0000  0.2388  4 W 2.57, 4 Rh 2.61-2.68, 1 P 2.84
P  0.9897  0.0000  0.7612  4 W 2.57, 4 Rh 2.61-2.68, 1 P 2.84
Rh  0.5000  0.5000  0.5000  8 P 2.61-2.68
W  0.5000  0.5000  0.0000  8 P 2.57

Computed properties:
mass density	10.63	g cm⁻³
energy relative to the elements	-0.20	eV per atom
DOS(E_F)	2.2	states/eV/f.u.

***

No. 3
A geometry-optimized P2RhW structure. Source: the Alexandria database, functional PBE-GGA.

Lattice parameters (Å, degrees): 4.4212 4.4212 4.6138 104.36 104.36 42.60
Closest atoms and distances in Å follow each position.
Fractional coordinates of all 4 atoms:
P  0.0000  0.0000  0.0000  3 W 2.33-2.41, 2 Rh 2.42
P  0.2347  0.2347  0.5827  3 Rh 2.48-2.57, 2 W 2.49
Rh  0.4866  0.4866  0.3864  5 P 2.42-2.57
W  0.7151  0.7151  0.9845  5 P 2.33-2.49

Computed properties:
mass density	9.84	g cm⁻³
energy relative to the elements	-0.27	eV per atom
DOS(E_F)	2.2	states/eV/f.u.

***

No. 4
A geometry-optimized P2RhW structure. Source: the Alexandria database, functional PBE-GGA.

Lattice parameters (Å, degrees): 4.3274 4.3274 5.2478 110.49 110.49 39.20
Closest atoms and distances in Å follow each position.
Fractional coordinates of all 4 atoms:
P  0.2329  0.2329  0.2924  2 Rh 2.43, 3 W 2.50-2.52, 2 P 2.55
P  0.7671  0.7671  0.7076  2 Rh 2.43, 3 W 2.50-2.52, 2 P 2.55
Rh  0.5000  0.5000  0.0000  4 P 2.43
W  0.0000  0.0000  0.5000  6 P 2.50-2.52

Computed properties:
mass density	10.04	g cm⁻³
energy relative to the elements	-0.12	eV per atom
DOS(E_F)	2.6	states/eV/f.u.

***

No. 5
A geometry-optimized PRhW2 structure. Source: the Alexandria database, functional PBE-GGA.

Lattice parameters (Å, degrees): 3.7078 3.7078 4.3082 90.00 90.00 90.00
Closest atoms and distances in Å follow each position.
Fractional coordinates of all 4 atoms:
P  0.0000  0.0000  0.0000  4 Rh 2.62, 8 W 2.84
Rh  0.5000  0.5000  0.0000  4 P 2.62, 8 W 2.84
W  0.0000  0.5000  0.5000  4 W 2.62, 4 Rh 2.84, 4 P 2.84
W  0.5000  0.0000  0.5000  4 W 2.62, 4 Rh 2.84, 4 P 2.84

Computed properties:
mass density	14.06	g cm⁻³
energy relative to the elements	0.26	eV per atom
DOS(E_F)	3.9	states/eV/f.u.

***

No. 6
A geometry-optimized PRhW2 structure. Source: the Alexandria database, functional PBE-GGA.

Lattice parameters (Å, degrees): 2.9146 2.9146 6.9301 90.00 90.00 90.00
Closest atoms and distances in Å follow each position.
Fractional coordinates of all 4 atoms:
P  0.0000  0.0000  0.0000  4 W 2.46, 4 Rh 2.66
Rh  0.5000  0.5000  0.2420  4 P 2.66, 4 W 2.77, 4 Rh 2.91
W  0.0000  0.0000  0.5100  4 Rh 2.77, 8 W 2.91
W  0.5000  0.5000  0.8069  4 P 2.46

Computed properties:
mass density	14.15	g cm⁻³
energy relative to the elements	-0.05	eV per atom
DOS(E_F)	2.6	states/eV/f.u.

***

No. 7
A geometry-optimized P2RhW structure. Source: the Alexandria database, functional PBE-GGA.

Lattice parameters (Å, degrees): 7.5794 7.5794 7.5794 22.91 22.91 22.91
Closest atoms and distances in Å follow each position.
Fractional coordinates of all 4 atoms:
P  0.0000  0.0000  0.0000  3 Rh 2.36, 3 P 2.50
P  0.2521  0.2521  0.2521  3 W 2.43, 3 P 2.50
Rh  0.7385  0.7385  0.7385  3 P 2.36
W  0.5085  0.5085  0.5085  3 P 2.43

Computed properties:
mass density	10.00	g cm⁻³
energy relative to the elements	-0.08	eV per atom
DOS(E_F)	3.8	states/eV/f.u.

***

No. 8
A geometry-optimized P2RhW structure. Source: the Alexandria database, functional PBE-GGA.

Lattice parameters (Å, degrees): 2.9346 2.9346 7.5731 90.00 90.00 90.00
Closest atoms and distances in Å follow each position.
Fractional coordinates of all 4 atoms:
P  0.0000  0.0000  0.0000  4 W 2.49
P  0.5000  0.5000  0.3791  4 Rh 2.46
Rh  0.0000  0.0000  0.5547  4 P 2.46
W  0.5000  0.5000  0.8184  4 P 2.49

Computed properties:
mass density	8.88	g cm⁻³
energy relative to the elements	0.01	eV per atom
DOS(E_F)	3.2	states/eV/f.u.

***

No. 9
A geometry-optimized PRhW2 structure. Source: the Alexandria database, functional PBE-GGA.

Lattice parameters (Å, degrees): 3.9498 5.3607 5.3607 30.95 90.00 90.00
Closest atoms and distances in Å follow each position.
Fractional coordinates of all 4 atoms:
P  0.0000  0.0000  0.0000  2 Rh 2.37, 1 W 2.50
Rh  0.5000  0.1272  0.1272  2 P 2.37
W  0.0000  0.7580  0.7580  1 P 2.50, 4 Rh 2.79
W  0.5000  0.3978  0.3978  4 P 2.66, 3 Rh 2.77-2.80, 6 W 2.83-2.86

Computed properties:
mass density	14.27	g cm⁻³
energy relative to the elements	-0.10	eV per atom
DOS(E_F)	1.2	states/eV/f.u.

***

No. 10
A geometry-optimized PRhW2 structure. Source: the Alexandria database, functional PBE-GGA.

Lattice parameters (Å, degrees): 2.8105 2.8105 7.6873 90.00 90.00 103.53
Closest atoms and distances in Å follow each position.
Fractional coordinates of all 4 atoms:
P  0.0000  0.0000  0.0000  2 Rh 2.34, 2 W 2.51
Rh  0.5000  0.5000  0.2032  2 P 2.34
W  0.0000  0.0000  0.4857  8 W 2.76-3.07, 2 Rh 2.78
W  0.5000  0.5000  0.7641  2 P 2.51, 6 W 2.76-2.81

Computed properties:
mass density	14.11	g cm⁻³
energy relative to the elements	0.08	eV per atom
DOS(E_F)	2.8	states/eV/f.u.

***

No. 11
A geometry-optimized PRhW2 structure. Source: the Alexandria database, functional PBE-GGA.

Lattice parameters (Å, degrees): 4.3878 4.3878 4.3878 60.00 60.00 60.00
Closest atoms and distances in Å follow each position.
Fractional coordinates of all 4 atoms:
P  0.0000  0.0000  0.0000  4 W 2.69, 4 Rh 2.69
Rh  0.2500  0.2500  0.2500  4 W 2.69, 4 P 2.69
W  0.5000  0.5000  0.5000  4 W 2.69, 4 Rh 2.69
W  0.7500  0.7500  0.7500  4 W 2.69, 4 P 2.69

Computed properties:
mass density	13.94	g cm⁻³
energy relative to the elements	0.36	eV per atom
DOS(E_F)	4.3	states/eV/f.u.

***

No. 12
A geometry-optimized PRhW2 structure. Source: the Alexandria database, functional PBE-GGA.

Lattice parameters (Å, degrees): 4.8483 4.8483 4.8483 133.64 133.64 67.65
Closest atoms and distances in Å follow each position.
Fractional coordinates of all 4 atoms:
P  0.0000  0.0000  0.0000  8 W 2.70-2.77, 4 Rh 2.77
Rh  0.2500  0.7500  0.5000  8 W 2.70-2.77, 4 P 2.77
W  0.5000  0.5000  0.0000  4 P 2.70, 4 W 2.77, 4 Rh 2.77
W  0.7500  0.2500  0.5000  4 Rh 2.70, 4 W 2.77, 4 P 2.77

Computed properties:
mass density	14.19	g cm⁻³
energy relative to the elements	0.20	eV per atom
DOS(E_F)	3.6	states/eV/f.u.

***

Question: Which of these has the lowest mass density?
Answer: number 8

***

Question: Which value of energy relative to the elements does entry 9 give?
Answer: -0.10 eV per atom

***

Question: What is the energy relative to the elements in the second record?
Answer: -0.20 eV per atom